A plane-wave DFT calculation with PBE was carried out for crystalline MgRe3H at its relaxed geometry.

Geometry as POSCAR:
```
MgRe3H
1.0
-3.4739 -0.7258 -1.8363
0.1853 -3.8195 1.1591
-1.9658 0.9225 3.3543
Re Mg H
3 1 1
Direct
0.0000 0.5000 0.0000
0.5000 0.0000 0.0000
0.0000 0.0000 0.5000
0.5000 0.5000 0.5000
0.0000 0.0000 0.0000
```

Computed properties:
Offset from the most stable computed form (meV per atom): 0
Symmetry: Pm-3m (221)
Density of states at the Fermi level (states/eV per atom): 0.863